# 1
Here is crystalline Ba4As2O at its relaxed geometry from the Alexandria database. Energies are from GGA-PBE.

Cell and atoms, written as POSCAR:
```
Ba4As2O
1.0
7.5704 0.0000 -0.1049
0.0000 7.4613 0.0000
-2.9047 0.0000 9.0660
Ba As O
8 4 2
Direct
0.5115 0.4946 0.7465
0.4885 0.9946 0.2535
0.0555 0.7500 0.3624
0.0716 0.7500 0.9201
0.5115 0.0054 0.7465
0.9284 0.2500 0.0799
0.4885 0.5054 0.2535
0.9445 0.2500 0.6376
0.2388 0.2500 0.4330
0.7176 0.7500 0.0515
0.2824 0.2500 0.9485
0.7612 0.7500 0.5670
0.7406 0.2500 0.8059
0.2594 0.7500 0.1941
```

Total magnetization   0.00 μB/f.u.
Raw total energy   -4.585 eV per atom
DOS at the Fermi energy   0.01 states/eV/atom

---

# 2
Here is crystalline BaAsO2 at its relaxed geometry from the Alexandria database. Energies are from GGA-PBE.

Cell and atoms, written as POSCAR:
```
BaAsO2
1.0
-4.8207 4.5186 1.9488
-2.2892 4.1515 4.9979
-1.3573 6.4789 1.9069
Ba O As
1 2 1
Direct
0.5000 0.5000 0.5000
0.9034 0.9034 0.9034
0.0966 0.0966 0.0966
0.0000 0.0000 0.0000
```

Total magnetization   0.00 μB/f.u.
Raw total energy   -5.582 eV per atom
DOS at the Fermi energy   0.51 states/eV/atom

---

# 3
Here is crystalline Ba4As2O at its relaxed geometry from the Alexandria database. Energies are from GGA-PBE.

Cell and atoms, written as POSCAR:
```
Ba4As2O
1.0
-1.9321 -6.6604 -2.3994
7.1378 -1.2324 -2.3267
2.8908 0.0113 8.8624
Ba As O
8 4 2
Direct
0.3243 0.5555 0.6485
0.7657 0.7500 0.0313
0.6757 0.4445 0.3515
0.8243 0.9445 0.6485
0.1757 0.0555 0.3515
0.7343 0.2500 0.9687
0.2657 0.7500 0.0313
0.2343 0.2500 0.9687
0.3647 0.9810 0.7294
0.8647 0.5190 0.7294
0.1353 0.4810 0.2706
0.6353 0.0190 0.2706
0.0000 0.0000 0.0000
0.5000 0.5000 0.0000
```

Total magnetization   0.00 μB/f.u.
Raw total energy   -4.626 eV per atom

---

# 4
Here is crystalline Ba3AsO5 at its relaxed geometry from the Alexandria database. Energies are from GGA-PBE.

Cell and atoms, written as POSCAR:
```
Ba3AsO5
1.0
7.4641 0.0000 0.0000
0.0000 7.4641 0.0000
-3.7321 -3.7321 6.0425
O Ba As
10 6 2
Direct
0.5159 0.2924 0.3083
0.2924 0.7924 0.3083
0.7076 0.2076 0.6917
0.7924 0.0159 0.3083
0.9841 0.4841 0.6917
0.4841 0.7076 0.6917
0.2076 0.9841 0.6917
0.0159 0.5159 0.3083
0.5000 0.5000 0.0000
0.0000 0.0000 0.0000
0.1816 0.3184 0.0000
0.8184 0.6816 0.0000
0.3184 0.8184 0.0000
0.7500 0.7500 0.5000
0.6816 0.1816 0.0000
0.2500 0.2500 0.5000
0.2500 0.7500 0.5000
0.7500 0.2500 0.5000
```

Total magnetization   0.94 μB/f.u.
Raw total energy   -6.064 eV per atom
DOS at the Fermi energy   0.19 states/eV/atom

---

# 5
Here is crystalline Ba6As2O at its relaxed geometry from the Alexandria database. Energies are from GGA-PBE.

Cell and atoms, written as POSCAR:
```
Ba6As2O
1.0
7.4096 0.0000 0.3107
0.0000 8.7082 0.0000
-0.4871 0.0000 10.7573
Ba As O
12 4 2
Direct
0.6540 0.1965 0.9369
0.6902 0.1582 0.5612
0.8098 0.6582 0.9388
0.1902 0.3418 0.0612
0.8460 0.6965 0.5631
0.8680 0.9664 0.2596
0.3680 0.5336 0.7596
0.6320 0.4664 0.2404
0.3460 0.8035 0.0631
0.1540 0.3035 0.4369
0.3098 0.8418 0.4388
0.1320 0.0336 0.7404
0.0606 0.6166 0.2547
0.5606 0.8834 0.7547
0.4394 0.1166 0.2453
0.9394 0.3834 0.7453
0.0000 0.0000 0.5000
0.5000 0.5000 0.0000
```

Total magnetization   2.04 μB/f.u.
Raw total energy   -3.954 eV per atom
DOS at the Fermi energy   0.51 states/eV/atom

---

# 6
Here is crystalline BaAsO2 at its relaxed geometry from the Alexandria database. Energies are from GGA-PBE.

Cell and atoms, written as POSCAR:
```
BaAsO2
1.0
5.1720 0.0000 0.0000
0.0000 5.1720 0.0000
2.5860 2.5860 6.1732
Ba As O
2 2 4
Direct
0.0000 0.0000 0.0000
0.7500 0.2500 0.5000
0.5000 0.5000 0.0000
0.2500 0.7500 0.5000
0.5451 0.1250 0.2500
0.3750 0.4549 0.7500
0.8750 0.7951 0.7500
0.2049 0.6250 0.2500
```

Total magnetization   0.00 μB/f.u.
Raw total energy   -5.373 eV per atom
DOS at the Fermi energy   0.34 states/eV/atom

---

# 7
Here is crystalline BaAs2O at its relaxed geometry from the Alexandria database. Energies are from GGA-PBE.

Cell and atoms, written as POSCAR:
```
BaAs2O
1.0
5.3923 0.0000 0.0000
0.0000 5.3923 0.0000
2.6962 2.6962 6.9524
O As Ba
2 4 2
Direct
0.2500 0.7500 0.5000
0.5000 0.5000 0.0000
0.3750 0.6250 0.2500
0.3750 0.6250 0.7500
0.8750 0.6250 0.7500
0.3750 0.1250 0.2500
0.0000 0.0000 0.0000
0.7500 0.2500 0.5000
```

Total magnetization   0.00 μB/f.u.
Raw total energy   -4.704 eV per atom
DOS at the Fermi energy   0.41 states/eV/atom

---

# 8
Here is crystalline Ba4As2O at its relaxed geometry from the Alexandria database. Energies are from GGA-PBE.

Cell and atoms, written as POSCAR:
```
Ba4As2O
1.0
-1.6058 -0.4338 4.9549
4.9693 -0.3620 1.5788
2.0360 8.2780 4.1411
O Ba As
1 4 2
Direct
0.0000 0.0000 0.0000
0.1760 0.1760 0.6481
0.5000 0.0000 0.0000
0.0000 0.5000 0.0000
0.8240 0.8240 0.3519
0.3643 0.3643 0.2715
0.6357 0.6357 0.7285
```

Total magnetization   0.00 μB/f.u.
Raw total energy   -4.617 eV per atom

---

# 9
Here is crystalline BaAs2OsO8 at its relaxed geometry from the Alexandria database. Energies are from GGA-PBE.

Cell and atoms, written as POSCAR:
```
BaAs2OsO8
1.0
-4.6800 -0.9705 -1.6513
-0.6829 -2.7066 -4.2165
-1.9224 -7.8746 2.3339
O Ba As Os
8 1 2 1
Direct
0.3734 0.7351 0.8499
0.1916 0.1916 0.4252
0.6266 0.2649 0.1501
0.2649 0.9585 0.1501
0.7351 0.0415 0.8499
0.0415 0.3734 0.8499
0.9585 0.6266 0.1501
0.8084 0.8084 0.5748
0.5000 0.5000 0.5000
0.2632 0.2632 0.2105
0.7368 0.7368 0.7895
0.0000 0.0000 0.0000
```

Total magnetization   2.00 μB/f.u.
Raw total energy   -6.607 eV per atom
DOS at the Fermi energy   0.21 states/eV/atom

---

# 10
Here is crystalline Ba6AsP2O at its relaxed geometry from the Alexandria database. Energies are from GGA-PBE.

Cell and atoms, written as POSCAR:
```
Ba6AsP2O
1.0
-7.2444 -1.9055 -0.7395
-0.4746 -1.3458 8.1168
-2.1410 11.2940 1.7474
As Ba O P
2 12 2 4
Direct
0.5000 0.0000 0.0000
0.0000 0.5000 0.5000
0.1548 0.4465 0.7600
0.3353 0.7036 0.4284
0.6647 0.2964 0.5716
0.1647 0.2036 0.0716
0.7118 0.3276 0.9193
0.2118 0.1724 0.4193
0.8353 0.7964 0.9284
0.7882 0.8276 0.5807
0.6548 0.0535 0.2600
0.2882 0.6724 0.0807
0.3452 0.9465 0.7400
0.8452 0.5535 0.2400
0.0000 0.5000 0.0000
0.5000 0.0000 0.5000
0.9466 0.0976 0.7635
0.4466 0.4024 0.2635
0.5534 0.5976 0.7365
0.0534 0.9024 0.2365
```

Total magnetization   0.94 μB/f.u.
Raw total energy   -4.377 eV per atom
DOS at the Fermi energy   0.34 states/eV/atom

---

# 11
Here is crystalline BaAs2PO8 at its relaxed geometry from the Alexandria database. Energies are from GGA-PBE.

Cell and atoms, written as POSCAR:
```
BaAs2PO8
1.0
5.0127 0.0000 0.0000
2.5064 4.3411 0.0000
2.5064 1.4470 8.2736
O P Ba As
8 1 1 2
Direct
0.5037 0.2921 0.3545
0.8497 0.5037 0.3545
0.7079 0.4963 0.6455
0.1503 0.7079 0.6455
0.6956 0.6956 0.9131
0.3044 0.3044 0.0869
0.4963 0.1503 0.6455
0.2921 0.8497 0.3545
0.5000 0.5000 0.5000
0.0000 0.0000 0.0000
0.2353 0.2353 0.2940
0.7647 0.7647 0.7060
```

Total magnetization   0.00 μB/f.u.
Raw total energy   -6.067 eV per atom
DOS at the Fermi energy   0.25 states/eV/atom

---

# 12
Here is crystalline BaAsP2O8 at its relaxed geometry from the Alexandria database. Energies are from GGA-PBE.

Cell and atoms, written as POSCAR:
```
BaAsP2O8
1.0
4.8753 0.0000 0.0000
2.4377 4.2221 0.0000
2.4377 1.4074 8.0587
Ba P O As
1 2 8 1
Direct
0.0000 0.0000 0.0000
0.7592 0.7592 0.7224
0.2408 0.2408 0.2776
0.5026 0.2630 0.3367
0.7370 0.4974 0.6633
0.1023 0.7370 0.6633
0.2630 0.8977 0.3367
0.4974 0.1023 0.6633
0.8977 0.5026 0.3367
0.6956 0.6956 0.9131
0.3044 0.3044 0.0869
0.5000 0.5000 0.5000
```

Total magnetization   0.97 μB/f.u.
Raw total energy   -6.786 eV per atom
DOS at the Fermi energy   0.28 states/eV/atom

---

Question: Number 12 is which compound?
Answer: BaAsP2O8

---

Question: Look up the raw total energy of the fifth one.
Answer: -3.954 eV per atom

---

Copy entry 6 word for word.
Here is crystalline BaAsO2 at its relaxed geometry from the Alexandria database. Energies are from GGA-PBE.

Cell and atoms, written as POSCAR:
```
BaAsO2
1.0
5.1720 0.0000 0.0000
0.0000 5.1720 0.0000
2.5860 2.5860 6.1732
Ba As O
2 2 4
Direct
0.0000 0.0000 0.0000
0.7500 0.2500 0.5000
0.5000 0.5000 0.0000
0.2500 0.7500 0.5000
0.5451 0.1250 0.2500
0.3750 0.4549 0.7500
0.8750 0.7951 0.7500
0.2049 0.6250 0.2500
```

Total magnetization   0.00 μB/f.u.
Raw total energy   -5.373 eV per atom
DOS at the Fermi energy   0.34 states/eV/atom